# Tm4InTe2Se

A geometry-optimized Tm4InTe2Se structure (PBE-GGA, the Alexandria database).

Structure (POSCAR):
```
Tm4InTe2Se
1.0
7.404 0.000 0.000
0.000 4.165 0.000
-2.391 0.000 7.087
Tm In Te Se
4 1 2 1
direct
0.241 0.000 0.225
0.252 0.500 0.764
0.748 0.500 0.236
0.759 0.000 0.775
0.500 0.000 0.000
0.000 0.000 0.500
0.500 0.500 0.500
0.000 0.500 0.000
```

Summary:
Magnetization   0.00 μB/f.u.
Uncorrected formation energy   -1.11 eV/atom
SG   P2/m, No. 10